# BaPrSi3Au PBE relaxed
# **E above lowest polymorph**: 0.000 eV per atom
# **M_tot**: 0.00 μB per atom
# **Energy**: -60.14 eV/cell
data_BaPrSi3Au
_symmetry_space_group_name_H-M 'P 1'
_symmetry_Int_Tables_number 1
_cell_length_a 8.7242
_cell_length_b 8.5054
_cell_length_c 6.2571
_cell_angle_alpha 70.58
_cell_angle_beta 66.85
_cell_angle_gamma 42.57
loop_
_symmetry_equiv_pos_as_xyz
'x,y,z'
loop_
_atom_site_label
_atom_site_fract_x
_atom_site_fract_y
_atom_site_fract_z
Ba1 0.2500 0.2500 0.2500
Ba2 0.7500 0.7500 0.7500
Pr1 0.2379 0.7621 0.2379
Pr2 0.7621 0.2379 0.7621
Si1 0.1590 0.1590 0.8410
Si2 0.1664 0.6757 0.8336
Si3 0.3243 0.8336 0.6757
Si4 0.6757 0.1664 0.3243
Si5 0.8336 0.3243 0.1664
Si6 0.8410 0.8410 0.1590
Au1 0.3373 0.3373 0.6627
Au2 0.6627 0.6627 0.3373